# 1
This record from Alexandria via LeMat-Bulk describes crystalline PI2N2 at its relaxed geometry. The functional is PBE.

The structure in extended XYZ format:
```
5
Lattice="3.978 0.000 0.000 0.000 3.978 0.000 0.000 0.000 7.039" Properties=species:S:1:pos:R:3 pbc="T T T"
P 0.000 0.000 0.000
I 0.000 0.000 3.519
I 1.989 1.989 3.519
N 0.000 1.989 0.000
N 1.989 0.000 0.000
```

The electronic total energy is -16.9 eV for the cell shown. For the density of states at the Fermi level, the calculation gives 3.76 states/eV/cell. As for the energy relative to the lowest polymorph listed for this composition: 238 meV/atom. For the raw formation energy, the calculation gives 1.66 eV per atom. The symmetry is No. 123.

***

# 2
This record from Alexandria via LeMat-Bulk describes crystalline P2IN at its relaxed geometry. The functional is PBE.

The structure in extended XYZ format:
```
8
Lattice="-2.480 2.480 6.098 2.480 -2.480 6.098 2.480 2.480 -6.098" Properties=species:S:1:pos:R:3 pbc="T T T"
P 0.008 1.240 1.524
P -1.240 2.472 4.573
P -0.008 3.720 1.524
P 1.240 2.488 4.573
I 2.480 0.000 3.049
I 0.000 0.000 6.098
N 0.000 0.000 0.000
N 0.000 2.480 3.049
```

The electronic total energy is -34.3 eV for the cell shown. For the density of states at the Fermi level, the calculation gives 4.07 states/eV/cell. As for the energy relative to the lowest polymorph listed for this composition: 0 meV/atom. For the raw formation energy, the calculation gives 0.89 eV per atom. The symmetry is No. 122.

***

# 3
This record from Alexandria via LeMat-Bulk describes crystalline P3IN at its relaxed geometry. The functional is PBE.

The structure in extended XYZ format:
```
5
Lattice="4.308 0.000 0.000 0.000 4.308 0.000 0.000 0.000 4.308" Properties=species:S:1:pos:R:3 pbc="T T T"
P 0.000 0.000 2.154
P 0.000 2.154 0.000
P 2.154 0.000 0.000
I 2.154 2.154 2.154
N 0.000 0.000 0.000
```

The electronic total energy is -19.8 eV for the cell shown. For the density of states at the Fermi level, the calculation gives 2.44 states/eV/cell. As for the energy relative to the lowest polymorph listed for this composition: 0 meV/atom. For the raw formation energy, the calculation gives 1.26 eV per atom. The symmetry is No. 221.

***

# 4
This record from Alexandria via LeMat-Bulk describes crystalline PI2N2 at its relaxed geometry. The functional is PBE.

The structure in extended XYZ format:
```
5
Lattice="3.988 0.000 0.000 0.000 3.988 0.000 0.000 0.000 8.553" Properties=species:S:1:pos:R:3 pbc="T T T"
P 0.000 0.000 0.000
I 1.994 1.994 0.000
I 1.994 1.994 4.277
N 0.000 1.994 4.277
N 1.994 0.000 4.277
```

The electronic total energy is -15.3 eV for the cell shown. For the density of states at the Fermi level, the calculation gives 3.48 states/eV/cell. As for the energy relative to the lowest polymorph listed for this composition: 562 meV/atom. For the raw formation energy, the calculation gives 1.98 eV per atom. The symmetry is No. 123.

***

What is the formula in the third record?
P3IN

***

raw formation energy of number 1 (PI2N2)?
1.66 eV per atom